Below is a geometry-optimized LaV2Cl8 structure, with properties calculated at the PBE level.

a = 12.7970 Å, b = 9.2208 Å, c = 6.5497 Å
α = 90.00°, β = 94.83°, γ = 90.00°
Space group C2/m (No. 12)
Symmetry-distinct sites (fractional):
La: 0.0000 0.0000 0.0000 (multiplicity 2)
V: 0.2074 0.0000 0.6472 (multiplicity 4)
Cl: 0.1070 0.1918 0.7536 (multiplicity 8)
Cl: 0.1323 0.5000 0.2024 (multiplicity 4)
Cl: 0.1767 0.0000 0.2877 (multiplicity 4)

Results
ΔE_f (raw) (meV per atom): -1450
DOS at the Fermi energy (states/eV per atom): 0.543
Calculated volume (Å³/f.u.): 385.05
Total magnetic moment (μB/f.u.): 5.0
Calculated total energy (eV per atom): -4.90